Density functional theory data (PBE) for a relaxed Ce2NbMoN6 crystal.

Output
V (Å³ per atom): 14.4
VASP energy (eV per atom): -9.2615
Formation energy (no corrections) (eV/atom): -0.989

a b c (Å): 4.7872 5.4793 5.4793
angles (deg): 90.00 90.00 90.00
With the nearest neighbours (Å) after each atom.
Sites, in units of the cell vectors:
Ce 0.9926 0.5000 0.0000  4 N 2.33
Ce 0.9926 0.0000 0.5000  4 N 2.33
N 0.1899 0.5000 0.5000  1 Nb 1.87
N 0.7232 0.2462 0.7538  1 Mo 2.02, 1 Nb 2.08
N 0.7232 0.7538 0.7538  1 Mo 2.02, 1 Nb 2.08
N 0.7232 0.2462 0.2462  1 Mo 2.02, 1 Nb 2.08
N 0.7232 0.7538 0.2462  1 Mo 2.02, 1 Nb 2.08
N 0.2130 0.0000 0.0000  1 Mo 1.78
Nb 0.5808 0.5000 0.5000  5 N 1.87-2.08
Mo 0.5852 0.0000 0.0000  1 N 1.78

Density functional theory data (PBE) for a relaxed Mn2CuNi crystal.

Output
V (Å³ per atom): 11.3
VASP energy (eV per atom): -6.8430

a b c (Å): 8.5285 8.5285 8.5285
angles (deg): 16.83 16.83 16.83
With the nearest neighbours (Å) after each atom.
Sites, in units of the cell vectors:
Mn 0.5021 0.5021 0.5021  6 Mn 2.50, 3 Ni 2.50, 3 Cu 2.59
Mn 0.9979 0.9979 0.9979  6 Mn 2.50, 3 Ni 2.50, 3 Cu 2.59
Ni 0.2500 0.2500 0.2500  6 Ni 2.50, 6 Mn 2.50
Cu 0.7500 0.7500 0.7500  6 Cu 2.50, 6 Mn 2.59

Density functional theory data (PBE) for a relaxed Nb5P2 crystal.

Output
V (Å³ per atom): 16.9
VASP energy (eV per atom): -9.3676

a b c (Å): 5.4752 6.2525 7.4479
angles (deg): 95.28 111.57 90.00
With the nearest neighbours (Å) after each atom.
Sites, in units of the cell vectors:
Nb 0.9935 0.9239 0.1833  2 P 2.50-2.51
Nb 0.0065 0.0761 0.8167  2 P 2.50-2.51
Nb 0.6028 0.2500 0.0000  4 P 2.48
Nb 0.8466 0.2892 0.4515  3 P 2.56-2.58
Nb 0.6050 0.7892 0.4515  3 P 2.56-2.58
Nb 0.3950 0.2108 0.5485  3 P 2.56-2.58
Nb 0.8103 0.5761 0.8167  2 P 2.50-2.51
Nb 0.1897 0.4239 0.1833  2 P 2.50-2.51
Nb 0.1534 0.7108 0.5485  3 P 2.56-2.58
Nb 0.3972 0.7500 0.0000  4 P 2.48
P 0.5677 0.9198 0.7793  7 Nb 2.48-2.58
P 0.7884 0.5802 0.2207  7 Nb 2.48-2.58
P 0.2116 0.4198 0.7793  7 Nb 2.48-2.58
P 0.4323 0.0802 0.2207  7 Nb 2.48-2.58

Density functional theory data (PBE) for a relaxed CdFe2W crystal.

Output
V (Å³ per atom): 14.4
VASP energy (eV per atom): -7.1498

a b c (Å): 4.8425 4.8425 4.8425
angles (deg): 134.08 134.08 66.96
With the nearest neighbours (Å) after each atom.
Sites, in units of the cell vectors:
Fe 0.2500 0.7500 0.5000  4 Cd 2.67, 4 Fe 2.77, 4 W 2.77
Fe 0.0000 0.0000 0.0000  4 W 2.67, 4 Cd 2.77, 4 Fe 2.77
W 0.5000 0.5000 0.0000  8 Fe 2.67-2.77, 4 Cd 2.77
Cd 0.7500 0.2500 0.5000  8 Fe 2.67-2.77, 4 W 2.77

Density functional theory data (PBE) for a relaxed CaYAu crystal.

Output
V (Å³ per atom): 32.5
VASP energy (eV per atom): -4.3348

a b c (Å): 4.1058 4.1058 6.6720
angles (deg): 90.00 90.00 120.00
With the nearest neighbours (Å) after each atom.
Sites, in units of the cell vectors:
Au 0.0000 0.0000 0.9881  3 Y 2.87, 3 Ca 3.01
Ca 0.6667 0.3333 0.2668  3 Au 3.01
Y 0.3333 0.6667 0.7451  3 Au 2.87

Density functional theory data (PBE) for a relaxed CoTc2Ru crystal.

Output
V (Å³ per atom): 13.5
VASP energy (eV per atom): -9.1609

a b c (Å): 4.6412 4.6412 4.5892
angles (deg): 80.42 80.42 33.61
With the nearest neighbours (Å) after each atom.
Sites, in units of the cell vectors:
Tc 0.9971 0.9971 0.0040  6 Tc 2.63-2.68, 3 Co 2.65-2.68, 3 Ru 2.66-2.70
Tc 0.5029 0.5029 0.4960  6 Tc 2.63-2.68, 3 Co 2.65-2.68, 3 Ru 2.66-2.70
Ru 0.7500 0.7500 0.7500  4 Co 2.66, 6 Tc 2.66-2.70, 2 Ru 2.68
Co 0.2500 0.2500 0.2500  6 Tc 2.65-2.68, 4 Ru 2.66, 2 Co 2.68

Density functional theory data (PBE) for a relaxed LaDy2ErHg4 crystal.

Output
V (Å³ per atom): 26.7
VASP energy (eV per atom): -2.9572

a b c (Å): 5.2971 5.2971 9.3111
angles (deg): 73.47 73.47 60.00
With the nearest neighbours (Å) after each atom.
Sites, in units of the cell vectors:
Hg 0.1278 0.1278 0.6165  4 Dy 3.18-3.26, 3 Er 3.23, 1 La 3.37
Hg 0.8722 0.8722 0.3835  4 Dy 3.18-3.26, 3 Er 3.23, 1 La 3.37
Hg 0.3803 0.3803 0.8592  1 Er 3.16, 4 Dy 3.22-3.48, 3 La 3.30
Hg 0.6197 0.6197 0.1408  1 Er 3.16, 4 Dy 3.22-3.48, 3 La 3.30
Dy 0.7516 0.7516 0.7453  8 Hg 3.18-3.48
Dy 0.2484 0.2484 0.2547  8 Hg 3.18-3.48
Er 0.5000 0.5000 0.5000  8 Hg 3.16-3.23
La 0.0000 0.0000 0.0000  8 Hg 3.30-3.37